[1]
Crystalline UInPd at its relaxed geometry, computed with PBE.

The structure belongs to space group P-62m (No. 189); the cell edges are 6.7891, 6.7891 and 4.9426 Å and the angles 90.00°, 90.00° and 120.00°. Symmetry generates all atoms from U at (0.0000, 0.5092, 0.0000), In at (0.0000, 0.0000, 0.0000), In at (0.3333, 0.6667, 0.5000) and Pd at (0.0000, 0.2328, 0.5000).

=====

[2]
Crystalline InPdW at its relaxed geometry, computed with PBE.

For the distance to the lowest polymorph of the same formula, the calculation gives 0.216 eV/atom.

The structure belongs to space group F-43m (No. 216); the cell edges are 6.2585, 6.2585 and 6.2585 Å and the angles 90.00°, 90.00° and 90.00°. Symmetry generates all atoms from In at (0.0000, 0.0000, 0.0000), Pd at (0.2500, 0.2500, 0.7500) and W at (0.2500, 0.2500, 0.2500).

=====

| no. | E_tot (eV per atom) | mass density (kg/m3) |
| --- | --- | --- |
| 1 | -6.456 | 11597 |
| 2 | -5.858 | 10976 |